No. 1
A plane-wave DFT calculation with PBE was carried out for a relaxed structure of TlBiPb2.

Energy of formation in meV per atom: 12
Polymorph energy (0 for the lowest one) in meV/atom: 18.5
VASP energy in eV/cell: -13.615
Crystal system: tetragonal

a b c (Å): 4.1342 4.1342 7.4672
angles (deg): 90.00 90.00 90.00
Fractional coordinates of all 4 atoms:
1 Tl 0.0000 0.0000 0.0000
2 Bi 0.0000 0.0000 0.5000
3 Pb 0.5000 0.5000 0.2627
4 Pb 0.5000 0.5000 0.7373

---

No. 2
A plane-wave DFT calculation with PBE was carried out for a relaxed structure of Na2MgPd2.

Energy of formation in meV per atom: -198
Polymorph energy (0 for the lowest one) in meV/atom: 0.0
VASP energy in eV/cell: -31.220
Crystal system: tetragonal

a b c (Å): 6.7223 6.7223 4.6841
angles (deg): 90.00 90.00 90.00
Fractional coordinates of all 10 atoms:
1 Na 0.1646 0.3354 0.0000
2 Na 0.3354 0.8354 0.0000
3 Na 0.6646 0.1646 0.0000
4 Na 0.8354 0.6646 0.0000
5 Mg 0.0000 0.0000 0.5000
6 Mg 0.5000 0.5000 0.5000
7 Pd 0.1389 0.6389 0.5000
8 Pd 0.3611 0.1389 0.5000
9 Pd 0.6389 0.8611 0.5000
10 Pd 0.8611 0.3611 0.5000

---

No. 3
A plane-wave DFT calculation with PBE was carried out for a relaxed structure of Tb4RuI2.

VASP energy in eV/cell: -34.199
Formation energy from raw total energies in eV/atom: -0.472
Crystal system: orthorhombic

a b c (Å): 11.9129 11.9129 4.4159
angles (deg): 90.00 90.00 154.80
Fractional coordinates of all 7 atoms:
1 Tb 0.0697 0.9303 0.0000
2 Tb 0.4277 0.5723 0.5000
3 Tb 0.5723 0.4277 0.5000
4 Tb 0.9303 0.0697 0.0000
5 Ru 0.5000 0.5000 0.0000
6 I 0.1706 0.8294 0.5000
7 I 0.8294 0.1706 0.5000

---

No. 4
A plane-wave DFT calculation with PBE was carried out for a relaxed structure of GeOs.

Energy of formation in meV per atom: 794
VASP energy in eV/cell: -28.518
Crystal system: hexagonal

a b c (Å): 4.2372 4.2372 4.9894
angles (deg): 90.00 90.00 120.00
Fractional coordinates of all 4 atoms:
1 Ge 0.3333 0.6667 0.2500
2 Ge 0.6667 0.3333 0.7500
3 Os 0.3333 0.6667 0.7500
4 Os 0.6667 0.3333 0.2500

---

No. 5
A plane-wave DFT calculation with PBE was carried out for a relaxed structure of BeWBr.

Polymorph energy (0 for the lowest one) in meV/atom: 203.5
VASP energy in eV/cell: -15.600
Formation energy from raw total energies in eV/atom: 0.917
Crystal system: orthorhombic

a b c (Å): 6.7836 6.3777 3.0961
angles (deg): 83.83 69.18 26.99
Fractional coordinates of all 3 atoms:
1 Be 0.0000 0.0000 0.0000
2 W 0.6575 0.6575 0.3425
3 Br 0.3549 0.3549 0.6451

---

No. 6
A plane-wave DFT calculation with PBE was carried out for a relaxed structure of La2Pm5Dy2.

Energy of formation in meV per atom: 190
Polymorph energy (0 for the lowest one) in meV/atom: 172.1
VASP energy in eV/cell: -82.203
Crystal system: orthorhombic

a b c (Å): 10.2519 10.2519 10.2519
angles (deg): 85.21 107.97 140.81
Fractional coordinates of all 18 atoms:
1 La 0.0035 0.1259 0.1294
2 La 0.0035 0.3741 0.3776
3 La 0.9965 0.6259 0.6224
4 La 0.9965 0.8741 0.8706
5 Pm 0.0840 0.1746 0.6231
6 Pm 0.0840 0.9609 0.4094
7 Pm 0.0903 0.6007 0.9896
8 Pm 0.3971 0.0929 0.1975
9 Pm 0.3971 0.6995 0.8042
10 Pm 0.5515 0.4609 0.3769
11 Pm 0.5515 0.6746 0.5906
12 Pm 0.6111 0.1007 0.0104
13 Pm 0.8953 0.1995 0.8025
14 Pm 0.8953 0.5929 0.1958
15 Dy 0.4675 0.4675 0.0000
16 Dy 0.4675 0.9675 0.5000
17 Dy 0.5290 0.2865 0.7425
18 Dy 0.5440 0.7865 0.2575

---

No. 7
A plane-wave DFT calculation with PBE was carried out for a relaxed structure of Sm2GaRu.

Energy of formation in meV per atom: -389
VASP energy in eV/cell: -23.296
Crystal system: tetragonal

a b c (Å): 3.5565 3.5565 7.2196
angles (deg): 90.00 90.00 90.00
Fractional coordinates of all 4 atoms:
1 Sm 0.0000 0.0000 0.2335
2 Sm 0.0000 0.0000 0.7665
3 Ga 0.5000 0.5000 0.5000
4 Ru 0.5000 0.5000 0.0000

---

No. 8
A plane-wave DFT calculation with PBE was carried out for a relaxed structure of SiPRh.

VASP energy in eV/cell: -18.796
Formation energy from raw total energies in eV/atom: -0.204
Crystal system: monoclinic

a b c (Å): 3.6013 3.6013 3.6323
angles (deg): 105.47 105.47 74.42
Fractional coordinates of all 3 atoms:
1 Si 0.0000 0.0000 0.0000
2 P 0.6974 0.6974 0.2977
3 Rh 0.3172 0.3172 0.6798

---

No. 9
A plane-wave DFT calculation with PBE was carried out for a relaxed structure of GeSbAu4.

Polymorph energy (0 for the lowest one) in meV/atom: 48.6
VASP energy in eV/cell: -21.138
Formation energy from raw total energies in eV/atom: 0.118
Crystal system: cubic

a b c (Å): 5.6065 5.6065 5.6065
angles (deg): 60.00 60.00 60.00
Fractional coordinates of all 6 atoms:
1 Ge 0.0000 0.0000 0.0000
2 Sb 0.2500 0.2500 0.2500
3 Au 0.1246 0.6251 0.6251
4 Au 0.6251 0.1246 0.6251
5 Au 0.6251 0.6251 0.1246
6 Au 0.6251 0.6251 0.6251